# BaNa2P2Pd, relaxed, DFT GGA-PBE
# Formation energy from the elements in meV per atom: -377
data_BaNa2P2Pd
_chemical_formula_sum 'Ba1 Na2 P2 Pd1'
_space_group_name_H-M_alt 'P 1'
_space_group_IT_number 1
_cell_length_a 5.431
_cell_length_b 5.431
_cell_length_c 6.767
_cell_angle_alpha 113.66
_cell_angle_beta 113.66
_cell_angle_gamma 90.00
loop_
_space_group_symop_operation_xyz
'x,y,z'
loop_
_atom_site_label
_atom_site_type_symbol
_atom_site_fract_x
_atom_site_fract_y
_atom_site_fract_z
Na1 Na 0.250 0.750 0.500
Ba1 Ba 0.500 0.500 0.000
Pd1 Pd 0.000 0.000 0.000
P1 P 0.201 0.201 0.402
P2 P 0.799 0.799 0.598
Na2 Na 0.750 0.250 0.500

=====

# BaNa2PPt, relaxed, DFT GGA-PBE
# Formation energy from the elements in meV per atom: -9
data_BaNa2PPt
_chemical_formula_sum 'Ba1 Na2 P1 Pt1'
_space_group_name_H-M_alt 'P 1'
_space_group_IT_number 1
_cell_length_a 5.289
_cell_length_b 6.068
_cell_length_c 5.289
_cell_angle_alpha 90.00
_cell_angle_beta 90.00
_cell_angle_gamma 90.00
loop_
_space_group_symop_operation_xyz
'x,y,z'
loop_
_atom_site_label
_atom_site_type_symbol
_atom_site_fract_x
_atom_site_fract_y
_atom_site_fract_z
Pt1 Pt 0.000 0.000 0.000
Ba1 Ba 0.000 0.500 0.000
Na1 Na 0.000 0.000 0.500
Na2 Na 0.500 0.000 0.000
P1 P 0.500 0.500 0.500

=====

# BaNa2P2Pt, relaxed, DFT GGA-PBE
# Formation energy from the elements in meV per atom: -468
data_BaNa2P2Pt
_chemical_formula_sum 'Ba1 Na2 P2 Pt1'
_space_group_name_H-M_alt 'P 1'
_space_group_IT_number 1
_cell_length_a 5.417
_cell_length_b 5.417
_cell_length_c 6.759
_cell_angle_alpha 113.62
_cell_angle_beta 113.62
_cell_angle_gamma 90.00
loop_
_space_group_symop_operation_xyz
'x,y,z'
loop_
_atom_site_label
_atom_site_type_symbol
_atom_site_fract_x
_atom_site_fract_y
_atom_site_fract_z
Pt1 Pt 0.000 0.000 0.000
Na1 Na 0.250 0.750 0.500
P1 P 0.200 0.200 0.400
Na2 Na 0.750 0.250 0.500
P2 P 0.800 0.800 0.600
Ba1 Ba 0.500 0.500 0.000